B3C2 after structural relaxation, computed with PBE-GGA.

a = 7.536 Å, b = 7.536 Å, c = 4.178 Å
α = 70.41°, β = 70.41°, γ = 20.13°
Element x y z (fractional)
B 0.016 0.016 0.017
B 0.456 0.456 0.938
B 0.173 0.173 0.706
B 0.389 0.389 0.649
B 0.896 0.896 0.344
B 0.633 0.633 0.257
C 0.699 0.699 0.495
C 0.110 0.110 0.105
C 0.800 0.800 0.222
C 0.327 0.327 0.016

Summary:
D(E_F) in states/eV/atom: 0.197
Calculated volume in Å³ per cell: 76.8
Symmetry: No. 8
Formation enthalpy at 0 K in eV/atom: 0.408